No. 1
# BaNaCd2Ag2, optimized geometry, DFT PBE
data_BaNaCd2Ag2
_chemical_formula_sum 'Ba1 Na1 Cd2 Ag2'
_cell_length_a 4.9951
_cell_length_b 4.9951
_cell_length_c 7.6446
_cell_angle_alpha 90.00
_cell_angle_beta 90.00
_cell_angle_gamma 120.00
_symmetry_space_group_name_H-M 'P -3 m 1'
_symmetry_Int_Tables_number 164
_symmetry_space_group_name_Hall '-P 3 2"'
loop_
_atom_site_label
_atom_site_type_symbol
_atom_site_fract_x
_atom_site_fract_y
_atom_site_fract_z
_atom_site_occupancy
Ba1 Ba 0.0000 0.0000 0.0000 1
Na1 Na 0.0000 0.0000 0.5000 1
Cd1 Cd 0.3333 0.6667 0.3083 1
Ag1 Ag 0.3333 0.6667 0.7031 1
# Formation energy from the elements ... -0.21 eV per atom

No. 2
# PaCu2Au9, optimized geometry, DFT PBE
data_PaCu2Au9
_chemical_formula_sum 'Pa4 Cu8 Au36'
_cell_length_a 11.296
_cell_length_b 11.296
_cell_length_c 7.045
_cell_angle_alpha 90.00
_cell_angle_beta 90.00
_cell_angle_gamma 90.00
_symmetry_space_group_name_H-M 'I 41/a m d'
_symmetry_Int_Tables_number 141
loop_
_symmetry_equiv_pos_as_xyz
'x,y,z'
'-x,-y,-z'
'-y+1/4,x+3/4,z+1/4'
'y+1/4,-x+3/4,-z+1/4'
'-x+1/2,-y,z+1/2'
'x+1/2,y,-z+1/2'
'y+1/4,-x+1/4,z+3/4'
'-y+1/4,x+1/4,-z+3/4'
'x,-y,-z'
'-x,y,z'
'-y+1/4,-x+1/4,-z+3/4'
'y+1/4,x+1/4,z+3/4'
'-x+1/2,y,-z+1/2'
'x+1/2,-y,z+1/2'
'y+1/4,x+3/4,-z+1/4'
'-y+1/4,-x+3/4,z+1/4'
'x+1/2,y+1/2,z+1/2'
'-x+1/2,-y+1/2,-z+1/2'
'-y+3/4,x+1/4,z+3/4'
'y+3/4,-x+1/4,-z+3/4'
'-x,-y+1/2,z'
'x,y+1/2,-z'
'y+3/4,-x+3/4,z+1/4'
'-y+3/4,x+3/4,-z+1/4'
'x+1/2,-y+1/2,-z+1/2'
'-x+1/2,y+1/2,z+1/2'
'-y+3/4,-x+3/4,-z+1/4'
'y+3/4,x+3/4,z+1/4'
'-x,y+1/2,-z'
'x,-y+1/2,z'
'y+3/4,x+1/4,-z+3/4'
'-y+3/4,-x+1/4,z+3/4'
loop_
_atom_site_label
_atom_site_type_symbol
_atom_site_fract_x
_atom_site_fract_y
_atom_site_fract_z
_atom_site_occupancy
Pa1 Pa 0.000 0.250 0.375 1
Cu1 Cu 0.000 0.000 0.000 1
Au1 Au 0.000 0.250 0.875 1
Au2 Au 0.122 0.062 0.670 1
# Formation energy from the elements ... -0.05 eV per atom

No. 3
# Pr2PdN, optimized geometry, DFT PBE
data_Pr2PdN
_chemical_formula_sum 'Pr2 Pd1 N1'
_cell_length_a 3.313
_cell_length_b 3.313
_cell_length_c 7.129
_cell_angle_alpha 90.00
_cell_angle_beta 90.00
_cell_angle_gamma 90.00
_symmetry_space_group_name_H-M 'P 4/m m m'
_symmetry_Int_Tables_number 123
_symmetry_space_group_name_Hall '-P 4 2'
loop_
_atom_site_label
_atom_site_type_symbol
_atom_site_fract_x
_atom_site_fract_y
_atom_site_fract_z
_atom_site_occupancy
Pr1 Pr 0.000 0.000 0.211 1
Pd1 Pd 0.500 0.500 0.500 1
N1 N 0.500 0.500 0.000 1
# ΔE_f (raw) ... -0.52 eV per atom

No. 4
# Cs3Pm2NpS6, optimized geometry, DFT PBE
data_Cs3Pm2NpS6
_chemical_formula_sum 'Cs6 Pm4 Np2 S12'
_cell_length_a 7.288
_cell_length_b 12.619
_cell_length_c 8.436
_cell_angle_alpha 90.00
_cell_angle_beta 106.71
_cell_angle_gamma 90.00
_symmetry_space_group_name_H-M 'C 1 2/m 1'
_symmetry_Int_Tables_number 12
loop_
_symmetry_equiv_pos_as_xyz
'x,y,z'
'-x,-y,-z'
'-x,y,-z'
'x,-y,z'
'x+1/2,y+1/2,z'
'-x+1/2,-y+1/2,-z'
'-x+1/2,y+1/2,-z'
'x+1/2,-y+1/2,z'
loop_
_atom_site_label
_atom_site_type_symbol
_atom_site_fract_x
_atom_site_fract_y
_atom_site_fract_z
_atom_site_occupancy
Cs1 Cs 0.000 0.000 0.000 1
Cs2 Cs 0.000 0.331 0.000 1
Pm1 Pm 0.000 0.166 0.500 1
Np1 Np 0.000 0.500 0.500 1
S1 S 0.226 0.335 0.684 1
S2 S 0.232 0.000 0.685 1
# ΔE_f (raw) ... -1.65 eV per atom

No. 5
# LiHfIn4O8, optimized geometry, DFT PBE
data_LiHfIn4O8
_chemical_formula_sum 'Li3 Hf3 In12 O24'
_cell_length_a 6.5448
_cell_length_b 6.5448
_cell_length_c 15.6375
_cell_angle_alpha 90.00
_cell_angle_beta 90.00
_cell_angle_gamma 120.00
_symmetry_space_group_name_H-M 'R 3 m'
_symmetry_Int_Tables_number 160
_symmetry_space_group_name_Hall 'R 3 -2"'
loop_
_atom_site_label
_atom_site_type_symbol
_atom_site_fract_x
_atom_site_fract_y
_atom_site_fract_z
_atom_site_occupancy
Li1 Li 0.0000 0.0000 0.0000 1
Hf1 Hf 0.0000 0.0000 0.3858 1
In1 In 0.0000 0.0000 0.6262 1
In2 In 0.0050 0.5025 0.5079 1
O1 O 0.0000 0.0000 0.2550 1
O2 O 0.0000 0.0000 0.7638 1
O3 O 0.1684 0.3367 0.0950 1
O4 O 0.1794 0.3587 0.5868 1
# ΔE_f (raw) ... -1.87 eV per atom

No. 6
# NaAlSn3, optimized geometry, DFT PBE
data_NaAlSn3
_chemical_formula_sum 'Na4 Al4 Sn12'
_cell_length_a 11.548
_cell_length_b 6.566
_cell_length_c 7.738
_cell_angle_alpha 90.00
_cell_angle_beta 113.34
_cell_angle_gamma 90.00
_symmetry_space_group_name_H-M 'C 1 2/m 1'
_symmetry_Int_Tables_number 12
loop_
_symmetry_equiv_pos_as_xyz
'x,y,z'
'-x,-y,-z'
'-x,y,-z'
'x,-y,z'
'x+1/2,y+1/2,z'
'-x+1/2,-y+1/2,-z'
'-x+1/2,y+1/2,-z'
'x+1/2,-y+1/2,z'
loop_
_atom_site_label
_atom_site_type_symbol
_atom_site_fract_x
_atom_site_fract_y
_atom_site_fract_z
_atom_site_occupancy
Na1 Na 0.133 0.000 0.209 1
Al1 Al 0.000 0.500 0.000 1
Al2 Al 0.000 0.500 0.500 1
Sn1 Sn 0.126 0.232 0.811 1
Sn2 Sn 0.201 0.500 0.350 1
# Formation energy from the elements ... 0.05 eV per atom

No. 7
# BeSe4, optimized geometry, DFT PBE
data_BeSe4
_chemical_formula_sum 'Be1 Se4'
_cell_length_a 4.582
_cell_length_b 4.582
_cell_length_c 4.582
_cell_angle_alpha 90.00
_cell_angle_beta 90.00
_cell_angle_gamma 90.00
_symmetry_space_group_name_H-M 'P m -3 m'
_symmetry_Int_Tables_number 221
_symmetry_space_group_name_Hall '-P 4 2 3'
loop_
_atom_site_label
_atom_site_type_symbol
_atom_site_fract_x
_atom_site_fract_y
_atom_site_fract_z
_atom_site_occupancy
Be1 Be 0.000 0.000 0.000 1
Se1 Se 0.000 0.000 0.500 1
Se2 Se 0.500 0.500 0.500 1
# ΔE_f (raw) ... 0.40 eV per atom

No. 8
# Tb5Nd2Rh4, optimized geometry, DFT PBE
data_Tb5Nd2Rh4
_chemical_formula_sum 'Tb10 Nd4 Rh8'
_cell_length_a 24.259
_cell_length_b 3.635
_cell_length_c 6.904
_cell_angle_alpha 90.00
_cell_angle_beta 93.74
_cell_angle_gamma 90.00
_symmetry_space_group_name_H-M 'C 1 2/m 1'
_symmetry_Int_Tables_number 12
loop_
_symmetry_equiv_pos_as_xyz
'x,y,z'
'-x,-y,-z'
'-x,y,-z'
'x,-y,z'
'x+1/2,y+1/2,z'
'-x+1/2,-y+1/2,-z'
'-x+1/2,y+1/2,-z'
'x+1/2,-y+1/2,z'
loop_
_atom_site_label
_atom_site_type_symbol
_atom_site_fract_x
_atom_site_fract_y
_atom_site_fract_z
_atom_site_occupancy
Tb1 Tb 0.000 0.000 0.000 1
Tb2 Tb 0.134 0.500 0.180 1
Tb3 Tb 0.232 0.500 0.716 1
Nd1 Nd 0.086 0.500 0.656 1
Rh1 Rh 0.028 0.500 0.296 1
Rh2 Rh 0.169 0.000 0.478 1
# Formation energy from the elements ... -0.40 eV per atom

No. 9
# Ca2Y2Si4CO16, optimized geometry, DFT PBE
data_Ca2Y2Si4CO16
_chemical_formula_sum 'Ca8 Y8 Si16 C4 O64'
_cell_length_a 14.509
_cell_length_b 13.133
_cell_length_c 6.808
_cell_angle_alpha 90.00
_cell_angle_beta 90.00
_cell_angle_gamma 90.00
_symmetry_space_group_name_H-M 'P n m a'
_symmetry_Int_Tables_number 62
loop_
_symmetry_equiv_pos_as_xyz
'x,y,z'
'-x,-y,-z'
'-x+1/2,-y,z+1/2'
'x+1/2,y,-z+1/2'
'x+1/2,-y+1/2,-z+1/2'
'-x+1/2,y+1/2,z+1/2'
'-x,y+1/2,-z'
'x,-y+1/2,z'
loop_
_atom_site_label
_atom_site_type_symbol
_atom_site_fract_x
_atom_site_fract_y
_atom_site_fract_z
_atom_site_occupancy
Ca1 Ca 0.048 0.072 0.197 1
Y1 Y 0.220 0.559 0.886 1
Si1 Si 0.069 0.132 0.664 1
Si2 Si 0.147 0.630 0.387 1
C1 C 0.122 0.750 0.886 1
O1 O 0.036 0.610 0.436 1
O2 O 0.073 0.250 0.743 1
O3 O 0.080 0.664 0.880 1
O4 O 0.083 0.052 0.846 1
O5 O 0.091 0.250 0.166 1
O6 O 0.136 0.112 0.477 1
O7 O 0.160 0.750 0.332 1
O8 O 0.172 0.554 0.204 1
O9 O 0.211 0.750 0.899 1
O10 O 0.214 0.591 0.561 1
# ΔE_f (raw) ... -2.71 eV per atom

No. 10
# LuGaNi2, optimized geometry, DFT PBE
data_LuGaNi2
_chemical_formula_sum 'Lu6 Ga6 Ni12'
_cell_length_a 5.1373
_cell_length_b 5.1373
_cell_length_c 15.8435
_cell_angle_alpha 90.00
_cell_angle_beta 90.00
_cell_angle_gamma 120.00
_symmetry_space_group_name_H-M 'P 63/m m c'
_symmetry_Int_Tables_number 194
_symmetry_space_group_name_Hall '-P 6c 2c'
loop_
_atom_site_label
_atom_site_type_symbol
_atom_site_fract_x
_atom_site_fract_y
_atom_site_fract_z
_atom_site_occupancy
Lu1 Lu 0.3333 0.6667 0.0426 1
Lu2 Lu 0.3333 0.6667 0.2500 1
Ga1 Ga 0.0000 0.0000 0.0000 1
Ga2 Ga 0.0000 0.0000 0.2500 1
Ga3 Ga 0.3333 0.6667 0.7500 1
Ni1 Ni 0.1687 0.3374 0.6252 1
# Formation energy from the elements ... -0.60 eV per atom

No. 11
# Hf3ScPt, optimized geometry, DFT PBE
data_Hf3ScPt
_chemical_formula_sum 'Hf3 Sc1 Pt1'
_cell_length_a 4.855
_cell_length_b 4.855
_cell_length_c 4.855
_cell_angle_alpha 90.00
_cell_angle_beta 90.00
_cell_angle_gamma 90.00
_symmetry_space_group_name_H-M 'P m -3 m'
_symmetry_Int_Tables_number 221
_symmetry_space_group_name_Hall '-P 4 2 3'
loop_
_atom_site_label
_atom_site_type_symbol
_atom_site_fract_x
_atom_site_fract_y
_atom_site_fract_z
_atom_site_occupancy
Hf1 Hf 0.000 0.000 0.500 1
Sc1 Sc 0.000 0.000 0.000 1
Pt1 Pt 0.500 0.500 0.500 1
# Formation energy from the elements ... 1.21 eV per atom

No. 12
# TaCdAu, optimized geometry, DFT PBE
data_TaCdAu
_chemical_formula_sum 'Ta2 Cd2 Au2'
_cell_length_a 3.381
_cell_length_b 3.381
_cell_length_c 10.224
_cell_angle_alpha 90.00
_cell_angle_beta 90.00
_cell_angle_gamma 90.00
_symmetry_space_group_name_H-M 'P 4/n m m'
_symmetry_Int_Tables_number 129
loop_
_symmetry_equiv_pos_as_xyz
'x,y,z'
'-x,-y,-z'
'-y+1/2,x,z'
'y+1/2,-x,-z'
'-x+1/2,-y+1/2,z'
'x+1/2,y+1/2,-z'
'y,-x+1/2,z'
'-y,x+1/2,-z'
'x+1/2,-y,-z'
'-x+1/2,y,z'
'-y,-x,-z'
'y,x,z'
'-x,y+1/2,-z'
'x,-y+1/2,z'
'y+1/2,x+1/2,-z'
'-y+1/2,-x+1/2,z'
loop_
_atom_site_label
_atom_site_type_symbol
_atom_site_fract_x
_atom_site_fract_y
_atom_site_fract_z
_atom_site_occupancy
Ta1 Ta 0.250 0.250 0.071 1
Cd1 Cd 0.250 0.250 0.400 1
Au1 Au 0.250 0.250 0.769 1
# Formation energy from the elements ... 0.00 eV per atom

No. 13
# Pa2SiGe, optimized geometry, DFT PBE
data_Pa2SiGe
_chemical_formula_sum 'Pa8 Si4 Ge4'
_cell_length_a 6.412
_cell_length_b 4.315
_cell_length_c 12.637
_cell_angle_alpha 90.00
_cell_angle_beta 90.00
_cell_angle_gamma 90.00
_symmetry_space_group_name_H-M 'A m m 2'
_symmetry_Int_Tables_number 38
loop_
_symmetry_equiv_pos_as_xyz
'x,y,z'
'-x,-y,z'
'-x,y,z'
'x,-y,z'
'x,y+1/2,z+1/2'
'-x,-y+1/2,z+1/2'
'-x,y+1/2,z+1/2'
'x,-y+1/2,z+1/2'
loop_
_atom_site_label
_atom_site_type_symbol
_atom_site_fract_x
_atom_site_fract_y
_atom_site_fract_z
_atom_site_occupancy
Pa1 Pa 0.000 0.000 0.000 1
Pa2 Pa 0.000 0.000 0.272 1
Pa3 Pa 0.500 0.000 0.111 1
Pa4 Pa 0.500 0.000 0.823 1
Si1 Si 0.194 0.000 0.652 1
Ge1 Ge 0.298 0.000 0.452 1
# ΔE_f (raw) ... -0.44 eV per atom

No. 14
# RbLaSeI, optimized geometry, DFT PBE
data_RbLaSeI
_chemical_formula_sum 'Rb3 La3 Se3 I3'
_cell_length_a 4.4321
_cell_length_b 4.4321
_cell_length_c 26.3204
_cell_angle_alpha 90.00
_cell_angle_beta 90.00
_cell_angle_gamma 120.00
_symmetry_space_group_name_H-M 'R 3 m'
_symmetry_Int_Tables_number 160
_symmetry_space_group_name_Hall 'R 3 -2"'
loop_
_atom_site_label
_atom_site_type_symbol
_atom_site_fract_x
_atom_site_fract_y
_atom_site_fract_z
_atom_site_occupancy
Rb1 Rb 0.0000 0.0000 0.0000 1
La1 La 0.0000 0.0000 0.8103 1
Se1 Se 0.0000 0.0000 0.4158 1
I1 I 0.0000 0.0000 0.2266 1
# ΔE_f (raw) ... -1.46 eV per atom

No. 15
# Li2IrCl6, optimized geometry, DFT PBE
data_Li2IrCl6
_chemical_formula_sum 'Li6 Ir3 Cl18'
_cell_length_a 6.3977
_cell_length_b 6.3977
_cell_length_c 16.8444
_cell_angle_alpha 90.00
_cell_angle_beta 90.00
_cell_angle_gamma 120.00
_symmetry_space_group_name_H-M 'R -3'
_symmetry_Int_Tables_number 148
_symmetry_space_group_name_Hall '-R 3'
loop_
_atom_site_label
_atom_site_type_symbol
_atom_site_fract_x
_atom_site_fract_y
_atom_site_fract_z
_atom_site_occupancy
Li1 Li 0.0000 0.0000 0.1934 1
Ir1 Ir 0.0000 0.0000 0.0000 1
Cl1 Cl 0.0230 0.7164 0.0822 1
# ΔE_f (raw) ... -1.01 eV per atom

No. 16
# Rb2PaRhS4, optimized geometry, DFT PBE
data_Rb2PaRhS4
_chemical_formula_sum 'Rb16 Pa8 Rh8 S32'
_cell_length_a 6.235
_cell_length_b 15.080
_cell_length_c 24.558
_cell_angle_alpha 90.00
_cell_angle_beta 90.00
_cell_angle_gamma 90.00
_symmetry_space_group_name_H-M 'F d d d'
_symmetry_Int_Tables_number 70
loop_
_symmetry_equiv_pos_as_xyz
'x,y,z'
'-x,-y,-z'
'-x+1/4,-y+1/4,z'
'x+1/4,y+1/4,-z'
'x,-y+1/4,-z+1/4'
'-x,y+1/4,z+1/4'
'-x+1/4,y,-z+1/4'
'x+1/4,-y,z+1/4'
'x,y+1/2,z+1/2'
'-x,-y+1/2,-z+1/2'
'-x+1/4,-y+3/4,z+1/2'
'x+1/4,y+3/4,-z+1/2'
'x,-y+3/4,-z+3/4'
'-x,y+3/4,z+3/4'
'-x+1/4,y+1/2,-z+3/4'
'x+1/4,-y+1/2,z+3/4'
'x+1/2,y,z+1/2'
'-x+1/2,-y,-z+1/2'
'-x+3/4,-y+1/4,z+1/2'
'x+3/4,y+1/4,-z+1/2'
'x+1/2,-y+1/4,-z+3/4'
'-x+1/2,y+1/4,z+3/4'
'-x+3/4,y,-z+3/4'
'x+3/4,-y,z+3/4'
'x+1/2,y+1/2,z'
'-x+1/2,-y+1/2,-z'
'-x+3/4,-y+3/4,z'
'x+3/4,y+3/4,-z'
'x+1/2,-y+3/4,-z+1/4'
'-x+1/2,y+3/4,z+1/4'
'-x+3/4,y+1/2,-z+1/4'
'x+3/4,-y+1/2,z+1/4'
loop_
_atom_site_label
_atom_site_type_symbol
_atom_site_fract_x
_atom_site_fract_y
_atom_site_fract_z
_atom_site_occupancy
Rb1 Rb 0.125 0.125 0.310 1
Pa1 Pa 0.125 0.125 0.125 1
Rh1 Rh 0.125 0.125 0.625 1
S1 S 0.101 0.268 0.835 1
# ΔE_f (raw) ... -0.93 eV per atom

No. 17
# AgGeRh, optimized geometry, DFT PBE
data_AgGeRh
_chemical_formula_sum 'Ag2 Ge2 Rh2'
_cell_length_a 3.190
_cell_length_b 3.190
_cell_length_c 9.665
_cell_angle_alpha 90.00
_cell_angle_beta 90.00
_cell_angle_gamma 90.00
_symmetry_space_group_name_H-M 'P 4/n m m'
_symmetry_Int_Tables_number 129
loop_
_symmetry_equiv_pos_as_xyz
'x,y,z'
'-x,-y,-z'
'-y+1/2,x,z'
'y+1/2,-x,-z'
'-x+1/2,-y+1/2,z'
'x+1/2,y+1/2,-z'
'y,-x+1/2,z'
'-y,x+1/2,-z'
'x+1/2,-y,-z'
'-x+1/2,y,z'
'-y,-x,-z'
'y,x,z'
'-x,y+1/2,-z'
'x,-y+1/2,z'
'y+1/2,x+1/2,-z'
'-y+1/2,-x+1/2,z'
loop_
_atom_site_label
_atom_site_type_symbol
_atom_site_fract_x
_atom_site_fract_y
_atom_site_fract_z
_atom_site_occupancy
Ag1 Ag 0.250 0.250 0.095 1
Ge1 Ge 0.250 0.250 0.708 1
Rh1 Rh 0.250 0.250 0.402 1
# Formation energy from the elements ... -0.11 eV per atom

No. 18
A plane-wave DFT calculation with PBE was carried out for a relaxed SiHPdN2 crystal.

```
data_SiHPdN2
_chemical_formula_sum 'Si1 H1 Pd1 N2'
_cell_length_a 3.874
_cell_length_b 3.874
_cell_length_c 3.039
_cell_angle_alpha 90.00
_cell_angle_beta 90.00
_cell_angle_gamma 90.00
_symmetry_space_group_name_H-M 'P 4/m m m'
_symmetry_Int_Tables_number 123
_symmetry_space_group_name_Hall '-P 4 2'
loop_
_atom_site_label
_atom_site_type_symbol
_atom_site_fract_x
_atom_site_fract_y
_atom_site_fract_z
_atom_site_occupancy
Si1 Si 0.000 0.000 0.000 1
H1 H 0.000 0.000 0.500 1
Pd1 Pd 0.500 0.500 0.000 1
N1 N 0.000 0.500 0.500 1
```

| no. | spin magnetization (μB per formula unit) | electronic total energy (eV per atom) |
| --- | --- | --- |
| 1 | 0.000 | -2.010 |
| 2 | 1.455 | -3.982 |
| 3 | 0.000 | -6.294 |
| 4 | 4.008 | -5.795 |
| 5 | 0.000 | -6.336 |
| 6 | 0.000 | -3.367 |
| 7 | 0.000 | -3.136 |
| 8 | 0.000 | -6.041 |
| 9 | 2.077 | -7.795 |
| 10 | 0.000 | -5.381 |
| 11 | 0.000 | -7.239 |
| 12 | 0.000 | -5.353 |
| 13 | 0.005 | -7.701 |
| 14 | 0.000 | -4.190 |
| 15 | 1.051 | -3.650 |
| 16 | 0.000 | -5.341 |
| 17 | 0.000 | -5.052 |
| 18 | 0.000 | -4.531 |